{"formula": "Al2InOs", "functional": "PBE-GGA", "state": "relaxed", "lattice": [[-2.0377, 2.0377, 8.9598], [2.0377, -2.0377, 8.9598], [2.0377, 2.0377, -8.9598]], "species": ["Al", "Al", "Al", "Al", "In", "In", "Os", "Os"], "fractional_positions": [[0.0840, 0.6250, 0.9590], [0.3750, 0.3340, 0.4590], [0.6660, 0.1250, 0.0410], [0.8750, 0.9160, 0.5410], [0.2500, 0.7500, 0.5000], [0.5000, 0.5000, 0.0000], [0.0000, 0.0000, 0.0000], [0.7500, 0.2500, 0.5000]], "volume_a3_per_cell": 149, "total_energy_ev_per_cell": -39.7}